Entry from the Alexandria database: a relaxed structure of Ce2TmSi2Pd2 (GGA-PBE).

Structure (CIF):
```
data_Ce2TmSi2Pd2
_chemical_formula_sum 'Ce6 Tm3 Si6 Pd6'
_cell_length_a 4.2841
_cell_length_b 4.2841
_cell_length_c 26.5421
_cell_angle_alpha 90.00
_cell_angle_beta 90.00
_cell_angle_gamma 120.00
_space_group_name_H-M_alt 'R -3 m'
_space_group_IT_number 166
_space_group_name_Hall '-R 3 2"'
loop_
_atom_site_label
_atom_site_fract_x
_atom_site_fract_y
_atom_site_fract_z
Ce1 0.0000 0.0000 0.1379
Tm1 0.0000 0.0000 0.0000
Si1 0.0000 0.0000 0.2618
Pd1 0.0000 0.0000 0.4002
```

Formation energy (no corrections)   -76.4 kJ per mole of atoms
Uncorrected energy   -6.159 eV per atom
Crystal system   trigonal